No. 1
An optimized crystal structure of SrLiTc4, computed with GGA-PBE.

## Properties
- Calculated formation energy: 562 meV per atom
- Spin magnetization: 0.0 μB/f.u.
- SG: F-43m

Cell: 5.358 5.358 5.358 Å, 60.00 60.00 60.00°
Sites, in units of the cell vectors:
Tc (0.376, 0.376, 0.873)
Sr (0.000, 0.000, 0.000)
Tc (0.376, 0.376, 0.376)
Tc (0.873, 0.376, 0.376)
Tc (0.376, 0.873, 0.376)
Li (0.750, 0.750, 0.750)


No. 2
An optimized crystal structure of SrLi2Tc, computed with GGA-PBE.

## Properties
- Calculated formation energy: 728 meV per atom
- Distance to the lowest polymorph of the same formula: 154 meV per atom
- Spin magnetization: 1.4 μB/f.u.
- SG: R3m

Cell: 10.119 10.119 10.119 Å, 18.32 18.32 18.32°
Each line ends with the local moment (μB).
Sites, in units of the cell vectors:
Sr (0.490, 0.490, 0.490)  -0.03
Li (0.008, 0.008, 0.008)  0.00
Tc (0.742, 0.742, 0.742)  1.26
Li (0.259, 0.259, 0.259)  0.02


No. 3
An optimized crystal structure of Sr3LiTc, computed with GGA-PBE.

## Properties
- Calculated formation energy: 535 meV per atom
- Distance to the lowest polymorph of the same formula: 0 meV per atom
- Spin magnetization: 1.5 μB/f.u.
- SG: Pm-3m

Cell: 5.888 5.888 5.888 Å, 90.00 90.00 90.00°
Each line ends with the local moment (μB).
Sites, in units of the cell vectors:
Li (0.500, 0.500, 0.500)  0.01
Sr (0.500, 0.000, 0.000)  0.03
Sr (0.000, 0.000, 0.500)  -0.02
Tc (0.000, 0.000, 0.000)  1.26
Sr (0.000, 0.500, 0.000)  0.02


No. 4
An optimized crystal structure of SrLi2Tc, computed with GGA-PBE.

## Properties
- Calculated formation energy: 749 meV per atom
- Distance to the lowest polymorph of the same formula: 174 meV per atom
- Spin magnetization: 0.4 μB/f.u.
- SG: Cmmm

Cell: 5.413 5.413 2.897 Å, 90.00 90.00 112.10°
Each line ends with the local moment (μB).
Sites, in units of the cell vectors:
Sr (0.500, 0.000, 0.500)  -0.09
Li (0.500, 0.500, 0.000)  -0.02
Tc (0.000, 0.500, 0.500)  0.66
Li (0.000, 0.000, 0.000)  -0.02


No. 5
An optimized crystal structure of Sr2LiTc, computed with GGA-PBE.

## Properties
- Calculated formation energy: 629 meV per atom
- Spin magnetization: 1.4 μB/f.u.
- SG: Cm

Cell: 6.264 6.264 5.619 Å, 72.54 72.54 32.87°
Each line ends with the local moment (μB).
Sites, in units of the cell vectors:
Tc (0.472, 0.472, 0.483)  1.47
Li (0.801, 0.801, 0.729)  -0.01
Sr (0.012, 0.012, 0.964)  -0.03
Sr (0.215, 0.215, 0.324)  -0.03


No. 6
An optimized crystal structure of Sr2LiTc2, computed with GGA-PBE.

## Properties
- Calculated formation energy: 740 meV per atom
- Distance to the lowest polymorph of the same formula: 282 meV per atom
- Spin magnetization: 0.0 μB/f.u.
- SG: P4/mbm

Cell: 9.235 9.235 3.226 Å, 90.00 90.00 90.00°
Sites, in units of the cell vectors:
Sr (0.803, 0.697, 0.000)
Tc (0.418, 0.082, 0.500)
Tc (0.582, 0.918, 0.500)
Sr (0.197, 0.303, 0.000)
Li (0.500, 0.500, 0.000)
Sr (0.697, 0.197, 0.000)
Sr (0.303, 0.803, 0.000)
Tc (0.082, 0.582, 0.500)
Tc (0.918, 0.418, 0.500)
Li (0.000, 0.000, 0.000)


No. 7
An optimized crystal structure of SrLi2Tc, computed with GGA-PBE.

## Properties
- Calculated formation energy: 639 meV per atom
- Distance to the lowest polymorph of the same formula: 64 meV per atom
- Spin magnetization: 0.0 μB/f.u.
- SG: Cm

Cell: 4.924 4.924 6.291 Å, 84.38 84.38 33.81°
Sites, in units of the cell vectors:
Tc (0.254, 0.254, 0.191)
Li (0.741, 0.741, 0.820)
Sr (0.508, 0.508, 0.470)
Li (0.997, 0.997, 0.019)


No. 8
An optimized crystal structure of SrLi2Tc, computed with GGA-PBE.

## Properties
- Calculated formation energy: 848 meV per atom
- Distance to the lowest polymorph of the same formula: 274 meV per atom
- Spin magnetization: 2.2 μB/f.u.
- SG: I-42d

Cell: 4.361 4.361 10.824 Å, 78.38 78.38 90.00°
Each line ends with the local moment (μB).
Sites, in units of the cell vectors:
Li (0.375, 0.297, 0.750)  -0.02
Li (0.703, 0.125, 0.250)  -0.02
Li (0.047, 0.625, 0.250)  -0.02
Tc (0.000, 0.000, 0.000)  2.15
Tc (0.750, 0.250, 0.500)  2.16
Sr (0.500, 0.500, 0.000)  -0.02
Li (0.875, 0.953, 0.750)  -0.02
Sr (0.250, 0.750, 0.500)  -0.02


No. 9
An optimized crystal structure of Sr2LiTc, computed with GGA-PBE.

## Properties
- Calculated formation energy: 772 meV per atom
- Spin magnetization: 1.8 μB/f.u.
- SG: C2/m

Cell: 4.928 4.928 7.862 Å, 84.20 84.20 41.21°
Each line ends with the local moment (μB).
Sites, in units of the cell vectors:
Li (0.750, 0.750, 0.750)  -0.01
Sr (0.985, 0.985, 0.036)  -0.01
Sr (0.515, 0.515, 0.464)  -0.01
Tc (0.250, 0.250, 0.250)  1.74


No. 10
An optimized crystal structure of SrLi2Tc, computed with GGA-PBE.

## Properties
- Calculated formation energy: 722 meV per atom
- Distance to the lowest polymorph of the same formula: 147 meV per atom
- Spin magnetization: 2.1 μB/f.u.
- SG: Pmmm

Cell: 3.609 4.935 5.080 Å, 90.00 90.00 90.00°
Each line ends with the local moment (μB).
Sites, in units of the cell vectors:
Li (0.500, 0.500, 0.000)  -0.01
Sr (0.500, 0.000, 0.500)  0.00
Tc (0.000, 0.500, 0.500)  1.93
Li (0.000, 0.000, 0.000)  -0.02


No. 11
An optimized crystal structure of SrLi2Tc, computed with GGA-PBE.

## Properties
- Calculated formation energy: 677 meV per atom
- Distance to the lowest polymorph of the same formula: 103 meV per atom
- Spin magnetization: 2.4 μB/f.u.
- SG: Fm-3m

Cell: 4.968 4.968 4.968 Å, 60.00 60.00 60.00°
Each line ends with the local moment (μB).
Sites, in units of the cell vectors:
Sr (0.000, 0.000, 0.000)  -0.03
Li (0.750, 0.750, 0.750)  -0.03
Tc (0.500, 0.500, 0.500)  2.25
Li (0.250, 0.250, 0.250)  -0.03


No. 12
An optimized crystal structure of SrLi2Tc, computed with GGA-PBE.

## Properties
- Calculated formation energy: 575 meV per atom
- Distance to the lowest polymorph of the same formula: 0 meV per atom
- Spin magnetization: 0.0 μB/f.u.
- SG: C2/m

Cell: 5.284 5.284 5.715 Å, 83.88 83.88 31.22°
Sites, in units of the cell vectors:
Li (0.984, 0.984, 0.071)
Sr (0.750, 0.750, 0.750)
Tc (0.250, 0.250, 0.250)
Li (0.516, 0.516, 0.429)


No. 13
An optimized crystal structure of Sr2LiTc, computed with GGA-PBE.

## Properties
- Calculated formation energy: 622 meV per atom
- Spin magnetization: 1.9 μB/f.u.
- SG: R3m

Cell: 8.060 8.060 8.060 Å, 32.42 32.42 32.42°
Each line ends with the local moment (μB).
Sites, in units of the cell vectors:
Tc (0.458, 0.458, 0.458)  1.87
Sr (0.214, 0.214, 0.214)  -0.02
Li (0.792, 0.792, 0.792)  -0.03
Sr (0.037, 0.037, 0.037)  -0.02


No. 14
An optimized crystal structure of SrLi2Tc, computed with GGA-PBE.

## Properties
- Calculated formation energy: 612 meV per atom
- Distance to the lowest polymorph of the same formula: 37 meV per atom
- Spin magnetization: 0.0 μB/f.u.
- SG: Immm

Cell: 6.446 6.446 6.446 Å, 153.75 130.25 57.11°
Sites, in units of the cell vectors:
Tc (0.250, 0.750, 0.500)
Sr (0.750, 0.250, 0.500)
Li (0.457, 0.457, 0.000)
Li (0.043, 0.043, 0.000)


No. 15
An optimized crystal structure of SrLiTe2, computed with GGA-PBE.

## Properties
- E_form (uncorrected): -1002 meV/atom
- Spin magnetization: 0.0 μB/f.u.
- SG: Pmm2

Cell: 3.810 5.205 6.636 Å, 90.00 90.00 90.00°
Sites, in units of the cell vectors:
Te (0.000, 0.000, 0.850)
Li (0.000, 0.000, 0.409)
Te (0.500, 0.500, 0.369)
Sr (0.500, 0.500, 0.872)


No. 16
An optimized crystal structure of SrLi2Te, computed with GGA-PBE.

## Properties
- E_form (uncorrected): -552 meV/atom
- Spin magnetization: 0.0 μB/f.u.
- SG: I-42d

Cell: 4.632 4.632 11.920 Å, 78.80 78.80 90.00°
Sites, in units of the cell vectors:
Te (0.000, 0.000, 0.000)
Li (0.375, 0.320, 0.750)
Sr (0.250, 0.750, 0.500)
Sr (0.500, 0.500, 0.000)
Li (0.680, 0.125, 0.250)
Li (0.875, 0.930, 0.750)
Te (0.750, 0.250, 0.500)
Li (0.070, 0.625, 0.250)


No. 17
An optimized crystal structure of Sr2LiTe2, computed with GGA-PBE.

## Properties
- E_form (uncorrected): -1029 meV/atom
- Distance to the lowest polymorph of the same formula: 201 meV per atom
- Spin magnetization: 0.8 μB/f.u.
- SG: P4/mbm

Cell: 9.106 9.106 4.220 Å, 90.00 90.00 90.00°
Each line ends with the local moment (μB).
Sites, in units of the cell vectors:
Te (0.342, 0.158, 0.500)  0.01
Sr (0.645, 0.145, 0.000)  0.04
Sr (0.855, 0.645, 0.000)  0.04
Sr (0.355, 0.855, 0.000)  0.04
Li (0.500, 0.500, 0.000)  0.09
Sr (0.145, 0.355, 0.000)  0.04
Te (0.158, 0.658, 0.500)  0.01
Te (0.842, 0.342, 0.500)  0.01
Te (0.658, 0.842, 0.500)  0.01
Li (0.000, 0.000, 0.000)  0.09


No. 18
An optimized crystal structure of SrLi2Te, computed with GGA-PBE.

## Properties
- E_form (uncorrected): -650 meV/atom
- Spin magnetization: 0.0 μB/f.u.
- SG: P4mm

Cell: 4.054 4.054 7.153 Å, 90.00 90.00 90.00°
Sites, in units of the cell vectors:
Te (0.500, 0.500, 0.792)
Li (0.000, 0.000, 0.994)
Sr (0.000, 0.000, 0.534)
Li (0.500, 0.500, 0.179)


No. 19
An optimized crystal structure of Sr12Li5Te3, computed with GGA-PBE.

## Properties
- E_form (uncorrected): -131 meV/atom
- Spin magnetization: 0.0 μB/f.u.
- SG: Ia-3d

Cell: 16.716 16.716 16.716 Å, 109.47 109.47 109.47°
Sites, in units of the cell vectors:
Li (0.750, 0.125, 0.875)
Sr (0.451, 0.672, 0.075)
Sr (0.221, 0.672, 0.097)
Sr (0.925, 0.097, 0.876)
Sr (0.097, 0.172, 0.221)
Li (0.000, 0.500, 0.000)
Sr (0.779, 0.328, 0.903)
Sr (0.124, 0.403, 0.075)
Te (0.750, 0.875, 0.625)
Li (0.000, 0.500, 0.500)
Sr (0.575, 0.624, 0.403)
Sr (0.876, 0.279, 0.451)
Sr (0.575, 0.951, 0.672)
Sr (0.049, 0.624, 0.721)
Te (0.625, 0.250, 0.375)
Sr (0.075, 0.903, 0.124)
Sr (0.721, 0.597, 0.172)
Sr (0.597, 0.721, 0.672)
Li (0.125, 0.375, 0.250)
Sr (0.624, 0.049, 0.221)
Sr (0.721, 0.124, 0.049)
Te (0.875, 0.125, 0.250)
Te (0.875, 0.750, 0.125)
Sr (0.597, 0.876, 0.425)
Li (0.000, 0.000, 0.500)
Te (0.750, 0.375, 0.125)
Sr (0.279, 0.403, 0.828)
Sr (0.376, 0.951, 0.779)
Sr (0.925, 0.828, 0.549)
Sr (0.828, 0.903, 0.279)
Sr (0.075, 0.172, 0.451)
Li (0.625, 0.875, 0.250)
Li (0.750, 0.625, 0.375)
Sr (0.451, 0.779, 0.876)
Sr (0.425, 0.049, 0.328)
Te (0.250, 0.625, 0.875)
Sr (0.779, 0.451, 0.376)
Sr (0.672, 0.221, 0.597)
Sr (0.672, 0.451, 0.575)
Te (0.375, 0.750, 0.625)
Sr (0.172, 0.075, 0.951)
Sr (0.903, 0.075, 0.624)
Li (0.250, 0.375, 0.625)
Li (0.375, 0.125, 0.750)
Te (0.625, 0.375, 0.750)
Li (0.500, 0.000, 0.500)
Sr (0.279, 0.876, 0.951)
Li (0.875, 0.250, 0.625)
Sr (0.876, 0.597, 0.925)
Sr (0.049, 0.425, 0.828)
Sr (0.328, 0.779, 0.403)
Sr (0.376, 0.425, 0.097)
Sr (0.097, 0.925, 0.376)
Li (0.625, 0.750, 0.875)
Sr (0.425, 0.376, 0.597)
Sr (0.328, 0.549, 0.425)
Li (0.500, 0.000, 0.000)
Li (0.500, 0.500, 0.500)
Te (0.125, 0.875, 0.750)
Te (0.125, 0.250, 0.875)
Te (0.375, 0.625, 0.250)
Sr (0.403, 0.279, 0.328)
Sr (0.549, 0.328, 0.925)
Sr (0.624, 0.575, 0.903)
Sr (0.951, 0.575, 0.172)
Sr (0.828, 0.925, 0.049)
Li (0.375, 0.250, 0.125)
Li (0.000, 0.000, 0.000)
Li (0.250, 0.875, 0.125)
Te (0.250, 0.125, 0.375)
Sr (0.221, 0.549, 0.624)
Sr (0.951, 0.376, 0.279)
Sr (0.172, 0.097, 0.721)
Li (0.500, 0.500, 0.000)
Sr (0.403, 0.124, 0.575)
Sr (0.549, 0.221, 0.124)
Li (0.125, 0.750, 0.375)
Sr (0.903, 0.828, 0.779)
Li (0.875, 0.625, 0.750)
Sr (0.124, 0.721, 0.549)


No. 20
An optimized crystal structure of SrLiTe2, computed with GGA-PBE.

## Properties
- E_form (uncorrected): -896 meV/atom
- Spin magnetization: 0.9 μB/f.u.
- SG: I-42d

Cell: 6.073 6.073 9.321 Å, 70.99 70.99 90.00°
Each line ends with the local moment (μB).
Sites, in units of the cell vectors:
Te (0.540, 0.125, 0.250)  0.20
Sr (0.750, 0.250, 0.500)  0.03
Te (0.875, 0.790, 0.750)  0.22
Li (0.250, 0.750, 0.500)  0.00
Li (0.500, 0.500, 0.000)  0.00
Te (0.210, 0.625, 0.250)  0.20
Sr (0.000, 0.000, 0.000)  0.03
Te (0.375, 0.460, 0.750)  0.22


| no. | final energy (Ry/atom) | mass density (Mg/m³) |
| --- | --- | --- |
| 1 | -0.5107 | 7.43 |
| 2 | -0.2382 | 3.70 |
| 3 | -0.2153 | 2.99 |
| 4 | -0.2367 | 4.21 |
| 5 | -0.2412 | 4.09 |
| 6 | -0.3280 | 4.56 |
| 7 | -0.2447 | 3.92 |
| 8 | -0.2294 | 3.36 |
| 9 | -0.2307 | 3.72 |
| 10 | -0.2387 | 3.66 |
| 11 | -0.2419 | 3.82 |
| 12 | -0.2495 | 4.03 |
| 13 | -0.2417 | 3.48 |
| 14 | -0.2467 | 3.69 |
| 15 | -0.2552 | 4.41 |
| 16 | -0.1996 | 3.09 |
| 17 | -0.2456 | 4.15 |
| 18 | -0.2067 | 3.24 |
| 19 | -0.1536 | 2.71 |
| 20 | -0.2474 | 3.81 |